DFT (GGA+U) results for an optimized crystal structure of Na4Tb3VO8.

```
Na4Tb3VO8
1.0
6.7073 0.0000 0.0000
0.0000 6.7786 0.0350
-3.3537 -3.3573 4.7688
Na Tb V O
4 3 1 8
Cartesian
3.3537 0.0000 0.0000 Na
1.6768 -1.6786 2.3844 Na
0.0000 0.0000 0.0000 Na
-1.6768 -1.6786 2.3844 Na
3.3537 3.3893 0.0175 Tb
1.6768 1.7107 2.4019 Tb
-1.6768 1.7107 2.4019 Tb
0.0000 3.3893 0.0175 V
-1.7951 1.4800 4.7049 O
0.0000 3.2726 2.2680 O
0.0000 0.1746 2.5143 O
1.7951 1.4800 4.7049 O
1.5586 1.9414 0.0989 O
3.3537 3.2467 2.2895 O
3.3537 0.1487 2.5358 O
5.1488 1.9414 0.0989 O
```


DFT (GGA+U) results for an optimized crystal structure of NaTbW2O8.

```
NaTbW2O8
1.0
6.2311 0.0423 0.0000
-2.7257 5.6035 0.0000
-1.7527 -2.8229 5.2714
Na Tb W O
1 1 2 8
Cartesian
0.0000 0.0000 0.0000 Na
-1.3628 2.8018 2.6357 Tb
3.1156 0.0212 2.6357 W
1.7527 2.8229 0.0000 W
1.6627 -0.4651 1.6579 O
0.3101 2.4791 1.0442 O
0.3316 -1.4454 4.2272 O
3.3241 -1.4966 3.6135 O
3.1953 3.1668 1.0442 O
4.5684 0.5074 1.6579 O
2.9070 1.5390 3.6135 O
-0.3316 1.4454 4.2272 O
```


Raw total energy
In order: -6.6733; -7.3183
Unit: eV/atom